{"formula": "Li2HgBi", "functional": "PBE-GGA", "state": "optimized geometry", "formation_enthalpy_0k_mev_per_atom": -286, "lattice": [[3.405, -0.007, -0.003], [1.696, 2.952, -0.003], [1.695, 0.978, 9.131]], "species": ["Li", "Li", "Hg", "Bi"], "frac_coords": [[0.082, 0.082, 0.755], [0.250, 0.250, 0.246], [0.667, 0.667, 0.999], [0.501, 0.501, 0.500]]}

{"formula": "Li6Hg2Bi3", "functional": "PBE-GGA", "state": "optimized geometry", "formation_enthalpy_0k_mev_per_atom": -257, "lattice": [[5.076, 0.000, 0.000], [0.000, 5.076, 0.000], [-2.538, -2.538, 10.542]], "species": ["Li", "Li", "Li", "Li", "Li", "Li", "Hg", "Hg", "Bi", "Bi", "Bi"], "frac_coords": [[0.100, 0.600, 0.200], [0.600, 0.100, 0.200], [0.900, 0.400, 0.800], [0.400, 0.900, 0.800], [0.700, 0.700, 0.400], [0.300, 0.300, 0.600], [0.432, 0.432, 0.864], [0.568, 0.568, 0.136], [0.000, 0.000, 0.000], [0.837, 0.837, 0.673], [0.163, 0.163, 0.327]]}

{"formula": "LiMgHgBi", "functional": "PBE-GGA", "state": "optimized geometry", "formation_enthalpy_0k_mev_per_atom": -323, "lattice": [[5.088, 0.000, 0.000], [2.544, 4.406, 0.000], [2.544, 1.469, 4.154]], "species": ["Mg", "Li", "Bi", "Hg"], "frac_coords": [[0.500, 0.500, 0.500], [0.000, 0.000, 0.000], [0.250, 0.250, 0.250], [0.750, 0.750, 0.750]]}

{"formula": "LiMgHg2Bi", "functional": "PBE-GGA", "state": "optimized geometry", "formation_enthalpy_0k_mev_per_atom": -118, "lattice": [[5.924, 0.000, 0.000], [0.000, 5.889, 0.000], [0.000, -2.944, 7.130]], "species": ["Li", "Li", "Mg", "Mg", "Hg", "Hg", "Hg", "Hg", "Bi", "Bi"], "frac_coords": [[0.250, 0.856, 0.712], [0.750, 0.144, 0.288], [0.250, 0.655, 0.311], [0.750, 0.345, 0.689], [0.500, 0.249, 0.000], [0.000, 0.751, 0.000], [0.500, 0.751, 0.000], [0.000, 0.249, 0.000], [0.750, 0.745, 0.490], [0.250, 0.255, 0.510]]}

{"formula": "LiMg2Hg4Bi", "functional": "PBE-GGA", "state": "optimized geometry", "formation_enthalpy_0k_mev_per_atom": -170, "lattice": [[-3.230, 1.537, 3.366], [-4.472, -2.021, 0.216], [0.441, -6.213, 6.846]], "species": ["Li", "Mg", "Mg", "Hg", "Hg", "Hg", "Hg", "Bi"], "frac_coords": [[0.500, 0.500, 0.500], [0.751, 0.751, 0.748], [0.249, 0.249, 0.252], [0.392, 0.392, 0.823], [0.865, 0.865, 0.406], [0.135, 0.135, 0.594], [0.608, 0.608, 0.177], [0.000, 0.000, 0.000]]}

{"formula": "Li2MgHg4Bi", "functional": "PBE-GGA", "state": "optimized geometry", "formation_enthalpy_0k_mev_per_atom": -230, "lattice": [[4.939, 0.000, 0.000], [2.470, 4.277, 0.000], [2.470, 1.426, 8.594]], "species": ["Li", "Li", "Mg", "Hg", "Hg", "Hg", "Hg", "Bi"], "frac_coords": [[0.748, 0.748, 0.755], [0.252, 0.252, 0.245], [0.500, 0.500, 0.500], [0.390, 0.390, 0.830], [0.867, 0.867, 0.398], [0.133, 0.133, 0.602], [0.610, 0.610, 0.170], [0.000, 0.000, 0.000]]}

{"formula": "LiHgBi2N", "functional": "PBE-GGA", "state": "optimized geometry", "lattice": [[-0.558, -2.613, -5.376], [2.526, -2.832, 1.114], [-4.586, -3.276, 2.068]], "species": ["N", "Li", "Bi", "Bi", "Hg"], "frac_coords": [[0.000, 0.500, 0.000], [0.500, 0.500, 0.500], [0.000, 0.000, 0.500], [0.500, 0.000, 0.000], [0.000, 0.000, 0.000]]}

{"formula": "NaLi2Hg2Bi2", "functional": "PBE-GGA", "state": "optimized geometry", "formation_enthalpy_0k_mev_per_atom": -285, "lattice": [[4.879, 0.000, 0.000], [2.439, 4.225, 0.000], [2.439, 1.408, 8.720]], "species": ["Na", "Li", "Li", "Hg", "Hg", "Bi", "Bi"], "frac_coords": [[0.000, 0.000, 0.000], [0.141, 0.141, 0.577], [0.859, 0.859, 0.423], [0.556, 0.556, 0.333], [0.444, 0.444, 0.667], [0.737, 0.737, 0.788], [0.263, 0.263, 0.212]]}

{"formula": "NaLiHgBi2", "functional": "PBE-GGA", "state": "optimized geometry", "formation_enthalpy_0k_mev_per_atom": -48, "lattice": [[-1.997, 4.757, -0.868], [-4.717, -2.123, -0.780], [-1.068, 0.487, 5.129]], "species": ["Na", "Li", "Bi", "Bi", "Hg"], "frac_coords": [[0.500, 0.500, 0.500], [0.000, 0.000, 0.000], [0.000, 0.500, 0.000], [0.500, 0.000, 0.000], [0.000, 0.000, 0.500]]}

{"formula": "Na3LiHg2Bi3", "functional": "PBE-GGA", "state": "optimized geometry", "formation_enthalpy_0k_mev_per_atom": -288, "lattice": [[3.528, 0.000, 0.000], [0.000, 8.858, 0.000], [0.000, -4.429, 7.671]], "species": ["Na", "Na", "Na", "Li", "Hg", "Hg", "Bi", "Bi", "Bi"], "frac_coords": [[0.000, 0.621, 0.621], [0.000, 0.000, 0.379], [0.000, 0.379, 0.000], [0.000, 0.000, 0.000], [0.500, 0.667, 0.333], [0.500, 0.333, 0.667], [0.500, 0.714, 0.000], [0.500, 0.000, 0.714], [0.500, 0.286, 0.286]]}

{"formula": "LiNdHgBi", "functional": "PBE-GGA", "state": "optimized geometry", "formation_enthalpy_0k_mev_per_atom": -496, "lattice": [[-2.841, 2.032, 4.021], [-1.683, -3.166, 3.939], [2.162, 0.405, 4.851]], "species": ["Li", "Nd", "Bi", "Hg"], "frac_coords": [[0.000, 0.000, 0.000], [0.500, 0.500, 0.500], [0.250, 0.250, 0.250], [0.750, 0.750, 0.750]]}

{"formula": "Li3Hg2BiO6", "functional": "PBE-GGA", "state": "optimized geometry", "lattice": [[-3.616, 1.811, 4.287], [-1.542, -4.374, -3.637], [3.806, -2.566, 2.999]], "species": ["Li", "Li", "Li", "Hg", "Hg", "Bi", "O", "O", "O", "O", "O", "O"], "frac_coords": [[0.140, 0.860, 0.500], [0.860, 0.140, 0.500], [0.500, 0.500, 0.500], [0.328, 0.672, 0.000], [0.672, 0.328, 0.000], [0.000, 0.000, 0.000], [0.924, 0.632, 0.741], [0.772, 0.772, 0.240], [0.076, 0.368, 0.259], [0.632, 0.924, 0.741], [0.228, 0.228, 0.760], [0.368, 0.076, 0.259]]}

{"formula": "Li2Hg2BiO6", "functional": "PBE-GGA", "state": "optimized geometry", "lattice": [[5.601, 0.663, -0.114], [-2.191, 5.197, -0.114], [-1.386, -2.382, 5.548]], "species": ["Li", "Li", "Hg", "Hg", "Bi", "O", "O", "O", "O", "O", "O"], "frac_coords": [[0.349, 0.651, 0.500], [0.651, 0.349, 0.500], [0.813, 0.187, 0.000], [0.187, 0.813, 0.000], [0.000, 0.000, 0.500], [0.739, 0.739, 0.589], [0.954, 0.324, 0.760], [0.261, 0.261, 0.411], [0.324, 0.954, 0.760], [0.046, 0.676, 0.240], [0.676, 0.046, 0.240]]}

{"formula": "LiPaHgBi", "functional": "PBE-GGA", "state": "optimized geometry", "formation_enthalpy_0k_mev_per_atom": -78, "lattice": [[-0.158, -5.204, -0.277], [1.422, -2.874, 4.112], [-3.592, -2.646, 2.699]], "species": ["Pa", "Li", "Bi", "Hg"], "frac_coords": [[0.500, 0.500, 0.500], [0.000, 0.000, 0.000], [0.250, 0.250, 0.250], [0.750, 0.750, 0.750]]}

{"formula": "Li2Hg2BiPb", "functional": "PBE-GGA", "state": "optimized geometry", "formation_enthalpy_0k_mev_per_atom": -233, "lattice": [[-3.215, 2.220, -2.899], [-0.834, -4.543, 1.529], [-3.375, 2.531, 5.682]], "species": ["Li", "Li", "Hg", "Hg", "Bi", "Pb"], "frac_coords": [[0.333, 0.667, 0.673], [0.667, 0.333, 0.327], [0.333, 0.667, 0.222], [0.667, 0.333, 0.778], [0.000, 0.000, 0.500], [0.000, 0.000, 0.000]]}

{"formula": "Li4HgBi3Pb2", "functional": "PBE-GGA", "state": "optimized geometry", "formation_enthalpy_0k_mev_per_atom": -219, "lattice": [[4.478, 0.000, 0.000], [0.000, 4.478, 0.000], [0.000, 0.000, 12.942]], "species": ["Li", "Li", "Li", "Li", "Hg", "Bi", "Bi", "Bi", "Pb", "Pb"], "frac_coords": [[0.500, 0.500, 0.000], [0.000, 0.000, 0.000], [0.500, 0.000, 0.643], [0.000, 0.500, 0.357], [0.500, 0.500, 0.500], [0.000, 0.000, 0.500], [0.500, 0.000, 0.854], [0.000, 0.500, 0.146], [0.500, 0.000, 0.237], [0.000, 0.500, 0.763]]}

{"formula": "Li2Hg2Bi2Pb", "functional": "PBE-GGA", "state": "optimized geometry", "formation_enthalpy_0k_mev_per_atom": -197, "lattice": [[-0.814, 4.946, -0.243], [-1.912, 2.426, 3.955], [6.920, 3.889, 4.143]], "species": ["Li", "Li", "Hg", "Hg", "Bi", "Bi", "Pb"], "frac_coords": [[0.137, 0.137, 0.590], [0.863, 0.863, 0.410], [0.557, 0.557, 0.330], [0.443, 0.443, 0.670], [0.737, 0.737, 0.789], [0.263, 0.263, 0.211], [0.000, 0.000, 0.000]]}

{"formula": "Li2Hg3Bi2Pb2", "functional": "PBE-GGA", "state": "optimized geometry", "formation_enthalpy_0k_mev_per_atom": -19, "lattice": [[-3.816, -3.135, 1.185], [1.914, -3.513, -3.129], [6.240, -0.337, 8.318]], "species": ["Li", "Li", "Hg", "Hg", "Hg", "Bi", "Bi", "Pb", "Pb"], "frac_coords": [[0.500, 0.000, 0.000], [0.000, 0.500, 0.000], [0.000, 0.000, 0.000], [0.250, 0.750, 0.500], [0.750, 0.250, 0.500], [0.590, 0.590, 0.180], [0.410, 0.410, 0.820], [0.149, 0.149, 0.299], [0.851, 0.851, 0.701]]}

{"formula": "Li2Hg4BiPb", "functional": "PBE-GGA", "state": "optimized geometry", "formation_enthalpy_0k_mev_per_atom": -50, "lattice": [[4.221, 0.000, 0.000], [0.000, 4.221, 0.000], [0.000, 0.000, 11.527]], "species": ["Li", "Li", "Hg", "Hg", "Hg", "Hg", "Bi", "Pb"], "frac_coords": [[0.500, 0.500, 0.386], [0.500, 0.500, 0.614], [0.000, 0.500, 0.222], [0.500, 0.000, 0.778], [0.500, 0.000, 0.222], [0.000, 0.500, 0.778], [0.000, 0.000, 0.500], [0.000, 0.000, 0.000]]}

{"formula": "LiHgBi2Pd", "functional": "PBE-GGA", "state": "optimized geometry", "formation_enthalpy_0k_mev_per_atom": -164, "lattice": [[-3.240, 0.129, -2.802], [0.842, -4.039, -1.159], [-8.162, -4.354, 9.239]], "species": ["Li", "Li", "Hg", "Hg", "Bi", "Bi", "Bi", "Bi", "Pd", "Pd"], "frac_coords": [[0.000, 0.000, 0.500], [0.500, 0.500, 0.500], [0.500, 0.000, 0.644], [0.000, 0.500, 0.356], [0.000, 0.500, 0.669], [0.000, 0.500, 0.089], [0.500, 0.000, 0.911], [0.500, 0.000, 0.331], [0.500, 0.000, 0.119], [0.000, 0.500, 0.881]]}

Q: Which theoretical density values were calculated for the entries above? A: 7.651 6.540 7.859 8.564 9.624 9.599 7.450 7.908 7.478 7.648 8.714 7.898 7.172 10.729 9.515 8.125 9.348 9.547 9.965 10.123, in g cm⁻³.
Q: Which total DFT energy (no corrections) values were calculated for the entries above? A: -9.2 -26.6 -9.0 -8.6 -11.6 -12.4 -13.4 -15.5 -11.5 -20.7 -12.8 -52.5 -47.6 -15.9 -13.4 -29.2 -17.3 -20.1 -13.0 -16.0, in eV/f.u..